# 1
BaInSnRh | GGA-PBE | optimized geometry

abc: 4.655 4.655 18.464
angles: 90.00 90.00 120.00
Atoms (fractional coordinates):
Ba: 0.000 0.000 0.000
Ba: 0.333 0.667 0.667
Ba: 0.667 0.333 0.333
In: 0.000 0.000 0.205
In: 0.333 0.667 0.871
In: 0.667 0.333 0.538
Sn: 0.000 0.000 0.456
Sn: 0.333 0.667 0.123
Sn: 0.667 0.333 0.790
Rh: 0.000 0.000 0.821
Rh: 0.333 0.667 0.487
Rh: 0.667 0.333 0.154

Summary:
- Total moment: 0.0 μB/cell
- Space group: R3m (160)
- Energy of formation from the pure elements: -0.47 eV/atom
- D(E_F): 0.753 states/eV per atom

---

# 2
Pr8HgAu2 | GGA-PBE | optimized geometry

abc: 8.755 8.755 8.706
angles: 118.99 118.99 36.62
Atoms (fractional coordinates):
Pr: 0.069 0.069 0.225
Pr: 0.146 0.146 0.711
Pr: 0.318 0.318 0.540
Pr: 0.401 0.401 0.044
Pr: 0.599 0.599 0.956
Pr: 0.682 0.682 0.460
Pr: 0.854 0.854 0.289
Pr: 0.931 0.931 0.775
Hg: 0.500 0.500 0.500
Au: 0.221 0.221 0.123
Au: 0.779 0.779 0.877

Summary:
- Total moment: 0.0 μB/cell
- Offset from the most stable computed form: 20 meV per atom
- Space group: C2/m (12)
- Energy of formation from the pure elements: -0.33 eV/atom
- D(E_F): 1.009 states/eV per atom

---

# 3
Sm2ErThSb4 | GGA-PBE | optimized geometry

abc: 7.697 4.460 7.721
angles: 90.00 109.48 90.00
Atoms (fractional coordinates):
Sm: 0.000 0.000 0.000
Sm: 0.500 0.500 0.000
Er: 0.000 0.500 0.500
Th: 0.500 0.000 0.500
Sb: 0.244 0.000 0.745
Sb: 0.245 0.500 0.251
Sb: 0.755 0.500 0.749
Sb: 0.756 0.000 0.255

Summary:
- Total moment: 0.0 μB/cell
- Space group: P2/m (10)
- D(E_F): 0.213 states/eV per atom
- Formation energy from raw total energies: -1.1019 eV per atom

---

# 4
Cd3Pd2Pt | GGA-PBE | optimized geometry

abc: 4.624 4.624 11.410
angles: 90.00 90.00 120.00
Atoms (fractional coordinates):
Cd: 0.000 0.000 0.249
Cd: 0.000 0.000 0.751
Cd: 0.333 0.667 0.417
Cd: 0.333 0.667 0.917
Cd: 0.667 0.333 0.083
Cd: 0.667 0.333 0.583
Pd: 0.000 0.000 0.000
Pd: 0.000 0.000 0.500
Pd: 0.333 0.667 0.167
Pd: 0.667 0.333 0.833
Pt: 0.333 0.667 0.667
Pt: 0.667 0.333 0.333

Summary:
- Total moment: 0.0 μB/cell
- Offset from the most stable computed form: 19 meV per atom
- Space group: P-3m1 (164)
- Energy of formation from the pure elements: -0.36 eV/atom
- D(E_F): 0.405 states/eV per atom

---

# 5
SrCaAg2 | GGA-PBE | optimized geometry

abc: 8.323 8.323 7.341
angles: 90.00 90.00 90.00
Atoms (fractional coordinates):
Sr: 0.000 0.000 0.000
Sr: 0.000 0.500 0.250
Sr: 0.500 0.000 0.750
Sr: 0.500 0.500 0.500
Ca: 0.000 0.000 0.500
Ca: 0.000 0.500 0.750
Ca: 0.500 0.000 0.250
Ca: 0.500 0.500 0.000
Ag: 0.233 0.250 0.625
Ag: 0.250 0.733 0.875
Ag: 0.250 0.767 0.375
Ag: 0.267 0.250 0.125
Ag: 0.733 0.750 0.125
Ag: 0.750 0.233 0.375
Ag: 0.750 0.267 0.875
Ag: 0.767 0.750 0.625

Summary:
- Total moment: 0.0 μB/cell
- Space group: I-42d (122)
- Energy of formation from the pure elements: -0.02 eV/atom
- D(E_F): 0.770 states/eV per atom

---

# 6
GaCu2TePt | GGA-PBE | optimized geometry

abc: 4.550 4.550 4.747
angles: 90.00 90.00 90.00
Atoms (fractional coordinates):
Ga: 0.000 0.000 0.000
Cu: 0.000 0.500 0.000
Cu: 0.500 0.000 0.000
Te: 0.500 0.500 0.500
Pt: 0.000 0.000 0.500

Summary:
- Total moment: 0.0 μB/cell
- Space group: P4/mmm (123)
- D(E_F): 0.663 states/eV per atom
- Formation energy from raw total energies: 0.4447 eV per atom